Density functional theory data (GGA-PBE) for a relaxed structure of Th4C2Se5.

Summary:
* raw total energy: -0.26882 hartree per atom
* space-group type: Immm, No. 71

Lattice parameters (Å, degrees): 4.153 7.666 9.743 113.17 102.30 90.00
Positions (direct):
Th: 0.000 0.279 0.000
Th: 0.680 0.680 0.361
Th: 0.000 0.721 0.000
Th: 0.320 0.320 0.639
C: 0.460 0.460 0.919
C: 0.540 0.540 0.081
Se: 0.833 0.063 0.665
Se: 0.833 0.603 0.665
Se: 0.167 0.397 0.335
Se: 0.167 0.937 0.335
Se: 0.500 0.000 0.000

=====

Density functional theory data (GGA-PBE) for a relaxed structure of LiTb2Pb9.

Summary:
* energy relative to the elements: -2.89 eV/f.u.
* raw total energy: -0.14529 hartree per atom
* space-group type: P4/mmm, No. 123

Lattice parameters (Å, degrees): 4.831 4.831 14.804 90.00 90.00 90.00
Positions (direct):
Li: 0.000 0.000 0.000
Tb: 0.000 0.000 0.337
Tb: 0.000 0.000 0.663
Pb: 0.500 0.500 0.000
Pb: 0.500 0.500 0.329
Pb: 0.500 0.500 0.671
Pb: 0.500 0.000 0.161
Pb: 0.500 0.000 0.500
Pb: 0.500 0.000 0.839
Pb: 0.000 0.500 0.161
Pb: 0.000 0.500 0.500
Pb: 0.000 0.500 0.839

=====

Density functional theory data (GGA-PBE) for a relaxed structure of KBaSr2Ir.

Summary:
* energy relative to the elements: -0.40 eV/f.u.
* raw total energy: -0.11498 hartree per atom
* space-group type: P4/mmm, No. 123

Lattice parameters (Å, degrees): 6.082 6.082 6.246 90.00 90.00 90.00
Positions (direct):
Sr: 0.000 0.500 0.000
Sr: 0.500 0.000 0.000
K: 0.500 0.500 0.500
Ir: 0.000 0.000 0.000
Ba: 0.000 0.000 0.500

=====

Density functional theory data (GGA-PBE) for a relaxed structure of LiMn2W.

Summary:
* energy relative to the elements: 1.47 eV/f.u.
* raw total energy: -0.29157 hartree per atom
* space-group type: Pmmm, No. 47

Lattice parameters (Å, degrees): 2.992 4.315 3.989 90.00 90.00 90.00
Last column: magnetic moment on the atom in μB.
Positions (direct):
Li: 0.000 0.500 0.500  0.00
Mn: 0.000 0.000 0.000  -0.05
Mn: 0.500 0.500 0.000  3.20
W: 0.500 0.000 0.500  -0.02

=====

Density functional theory data (GGA-PBE) for a relaxed structure of Cr3AuC.

Summary:
* energy relative to the elements: 0.71 eV/f.u.
* E above lowest polymorph: 0.00 eV per formula unit
* raw total energy: -0.29886 hartree per atom
* space-group type: Pm-3m, No. 221

Lattice parameters (Å, degrees): 3.901 3.901 3.901 90.00 90.00 90.00
Last column: magnetic moment on the atom in μB.
Positions (direct):
Cr: 0.000 0.500 0.000  0.33
Cr: 0.000 0.000 0.500  0.61
Cr: 0.500 0.000 0.000  0.28
C: 0.000 0.000 0.000  -0.02
Au: 0.500 0.500 0.500  0.01

=====

Density functional theory data (GGA-PBE) for a relaxed structure of RbBa3.

Summary:
* energy relative to the elements: 0.26 eV/f.u.
* E above lowest polymorph: 0.00 eV per formula unit
* raw total energy: -0.05947 hartree per atom
* space-group type: P-6m2, No. 187

Lattice parameters (Å, degrees): 4.544 4.544 15.423 90.00 90.00 120.00
Positions (direct):
Rb: 0.000 0.000 0.000
Ba: 0.000 0.000 0.500
Ba: 0.333 0.667 0.736
Ba: 0.333 0.667 0.264

=====

Density functional theory data (GGA-PBE) for a relaxed structure of Tl2PC.

Summary:
* energy relative to the elements: 6.51 eV/f.u.
* E above lowest polymorph: 2.14 eV per formula unit
* raw total energy: -0.11814 hartree per atom
* space-group type: Fm-3m, No. 225

Lattice parameters (Å, degrees): 4.853 4.853 4.853 60.00 60.00 60.00
Positions (direct):
P: 0.500 0.500 0.500
Tl: 0.250 0.250 0.250
Tl: 0.750 0.750 0.750
C: 0.000 0.000 0.000

=====

Density functional theory data (GGA-PBE) for a relaxed structure of K2Ta.

Summary:
* energy relative to the elements: 5.49 eV/f.u.
* E above lowest polymorph: 3.42 eV per formula unit
* raw total energy: -0.10488 hartree per atom
* space-group type: P6_3/mmc, No. 194

Lattice parameters (Å, degrees): 5.933 5.933 12.853 90.00 90.00 120.00
Last column: magnetic moment on the atom in μB.
Positions (direct):
K: 0.000 0.000 0.000  0.01
K: 0.000 0.000 0.500  0.01
K: 0.831 0.663 0.250  0.02
K: 0.169 0.337 0.750  0.02
K: 0.337 0.169 0.250  0.02
K: 0.831 0.169 0.250  0.02
K: 0.169 0.831 0.750  0.02
K: 0.663 0.831 0.750  0.02
Ta: 0.333 0.667 0.010  1.00
Ta: 0.667 0.333 0.510  1.00
Ta: 0.667 0.333 0.990  1.00
Ta: 0.333 0.667 0.490  1.00